VASP calculation (PBE) on LiGa3Au2 after structural relaxation.

Unit cell a=14.0478 b=4.3206 c=8.1236 alpha=90.00 beta=117.85 gamma=90.00
Space group C2/m (No. 12)
One atom of each set of equivalent atoms:
Li (0.1123, 0.0000, 0.0820) x4
Ga (0.0129, 0.0000, 0.3559) x4
Ga (0.1764, 0.5000, 0.8851) x4
Ga (0.1879, 0.5000, 0.5150) x4
Au (0.0231, 0.5000, 0.1849) x4
Au (0.2254, 0.0000, 0.7377) x4

## Properties
* ΔE to the lowest computed polymorph: 0.00 eV per formula unit
* energy relative to the elements: -30 kJ/mol of atoms